Record 1
Tb4Pm4Tm | PBE | relaxed

Calculated values
The space group is I4/mmm (139). Its crystal system is tetragonal. The calculation puts the formation energy at 0.02 eV per atom.

Structure (CIF):
```
data_Tb4Pm4Tm
_cell_length_a 5.079
_cell_length_b 8.036
_cell_length_c 8.036
_cell_angle_alpha 84.27
_cell_angle_beta 71.58
_cell_angle_gamma 71.58
_space_group_name_H-M_alt 'P 1'
_space_group_IT_number 1
_space_group_name_Hall 'P 1'
loop_
_atom_site_label
_atom_site_fract_x
_atom_site_fract_y
_atom_site_fract_z
Tb1 0.334 0.331 0.000
Tb2 0.334 0.000 0.331
Tb3 0.666 0.000 0.669
Tb4 0.666 0.669 0.000
Pm1 0.000 0.331 0.669
Pm2 0.331 0.669 0.669
Pm3 0.000 0.669 0.331
Pm4 0.669 0.331 0.331
Tm1 0.000 0.000 0.000
```


Record 2
SmGaRh | PBE | relaxed

Calculated values
The space group is I4mm (107). Its crystal system is tetragonal. The calculation puts the formation energy at -0.62 eV per atom.

Structure (CIF):
```
data_SmGaRh
_cell_length_a 3.336
_cell_length_b 3.336
_cell_length_c 5.801
_cell_angle_alpha 106.71
_cell_angle_beta 106.71
_cell_angle_gamma 90.00
_space_group_name_H-M_alt 'P 1'
_space_group_IT_number 1
_space_group_name_Hall 'P 1'
loop_
_atom_site_label
_atom_site_fract_x
_atom_site_fract_y
_atom_site_fract_z
Ga1 0.917 0.917 0.834
Sm1 0.623 0.623 0.247
Rh1 0.309 0.309 0.619
```


Record 3
In3Ni | PBE | relaxed

Calculated values
The space group is Fm-3m (225). Its crystal system is cubic. The calculation puts the formation energy at 0.25 eV per atom.

Structure (CIF):
```
data_In3Ni
_cell_length_a 4.960
_cell_length_b 4.960
_cell_length_c 4.960
_cell_angle_alpha 60.00
_cell_angle_beta 60.00
_cell_angle_gamma 60.00
_space_group_name_H-M_alt 'P 1'
_space_group_IT_number 1
_space_group_name_Hall 'P 1'
loop_
_atom_site_label
_atom_site_fract_x
_atom_site_fract_y
_atom_site_fract_z
Ni1 0.250 0.250 0.250
In1 0.750 0.750 0.750
In2 0.000 0.000 0.000
In3 0.500 0.500 0.500
```